## HRhO2 (PBE-GGA)

Data for HRhO2 after structural relaxation.

Cell and atoms, written as POSCAR:
```
HRhO2
1.0
2.428 -5.874 0.000
2.428 5.874 0.000
0.000 0.000 3.059
H Rh O
2 2 4
Cartesian
2.428 4.448 2.295
2.428 -4.448 0.765
2.428 1.262 2.295
2.428 -1.262 0.765
1.195 1.471 0.765
1.195 -1.471 2.295
3.660 1.471 0.765
3.660 -1.471 2.295
```

* total DFT energy (no corrections): -45.2 eV per cell